# 1
Ho2LuAl: relaxed, PBE.

It has space group P4/mmm (No. 123), with a = 3.473 Å, b = 3.473 Å, c = 8.964 Å, α = 90.00°, β = 90.00° and γ = 90.00°. The inequivalent atoms are Ho at (0.000, 0.000, 0.217), Lu at (0.500, 0.500, 0.500) and Al at (0.500, 0.500, 0.000).

The calculation puts the size of the total moment at 0.00 μB per atom. The energy above the most stable polymorph in this dataset is 0.012 eV per atom. As for the formation energy: -183 meV per atom.

***

# 2
HoLuAl: relaxed, PBE.

It has space group P3m1 (No. 156), with a = 5.0113 Å, b = 5.0113 Å, c = 3.5018 Å, α = 90.00°, β = 90.00° and γ = 120.00°. The inequivalent atoms are Ho at (0.0000, 0.0000, 0.0000), Lu at (0.6667, 0.3333, 0.5586) and Al at (0.3333, 0.6667, 0.3113).

The calculation puts the size of the total moment at 0.00 μB per atom. The energy above the most stable polymorph in this dataset is 0.111 eV per atom. As for the formation energy: -150 meV per atom.

***

# 3
Ho2LuAl: relaxed, PBE.

It has space group Fm-3m (No. 225), with a = 7.480 Å, b = 7.480 Å, c = 7.480 Å, α = 90.00°, β = 90.00° and γ = 90.00°. The inequivalent atoms are Ho at (0.250, 0.250, 0.250), Lu at (0.000, 0.000, 0.000) and Al at (0.000, 0.000, 0.500).

The calculation puts the size of the total moment at 0.00 μB per atom. The energy above the most stable polymorph in this dataset is 0.116 eV per atom. As for the formation energy: -78 meV per atom.

***

# 4
Ho2LuAl: relaxed, PBE.

It has space group P4/mmm (No. 123), with a = 4.721 Å, b = 4.721 Å, c = 4.689 Å, α = 90.00°, β = 90.00° and γ = 90.00°. The inequivalent atoms are Ho at (0.000, 0.500, 0.000), Lu at (0.000, 0.000, 0.500) and Al at (0.500, 0.500, 0.500).

The calculation puts the size of the total moment at 0.00 μB per atom. The energy above the most stable polymorph in this dataset is 0.000 eV per atom. As for the formation energy: -194 meV per atom.